[1]
# GGA-PBE Ca2NdScTe4, optimized geometry
data_Ca2NdScTe4
_chemical_formula_sum 'Ca2 Nd1 Sc1 Te4'
_symmetry_space_group_name_H-M 'P 1'
_symmetry_Int_Tables_number 1
_cell_length_a 4.384
_cell_length_b 7.601
_cell_length_c 7.756
_cell_angle_alpha 109.07
_cell_angle_beta 90.00
_cell_angle_gamma 90.00
loop_
_symmetry_equiv_pos_as_xyz
'x,y,z'
loop_
_atom_site_label
_atom_site_fract_x
_atom_site_fract_y
_atom_site_fract_z
Ca1 0.500 0.000 0.500
Ca2 0.000 0.500 0.500
Nd1 0.500 0.500 0.000
Sc1 0.000 0.000 0.000
Te1 0.500 0.234 0.239
Te2 0.500 0.766 0.761
Te3 0.000 0.238 0.752
Te4 0.000 0.762 0.248
# - Fermi-level density of states: 0.51 states/eV/atom
# - Volume: 30.5 Å³/atom
# - SG: P2/m (10)
# - Uncorrected formation energy: -1.416 eV/atom
# - Size of the total moment: 0.00 μB per atom

[2]
# GGA-PBE Ca3Nd2ScTe6, optimized geometry
data_Ca3Nd2ScTe6
_chemical_formula_sum 'Ca3 Nd2 Sc1 Te6'
_symmetry_space_group_name_H-M 'P 1'
_symmetry_Int_Tables_number 1
_cell_length_a 4.404
_cell_length_b 8.976
_cell_length_c 9.992
_cell_angle_alpha 104.22
_cell_angle_beta 102.73
_cell_angle_gamma 90.00
loop_
_symmetry_equiv_pos_as_xyz
'x,y,z'
loop_
_atom_site_label
_atom_site_fract_x
_atom_site_fract_y
_atom_site_fract_z
Ca1 0.500 0.500 0.000
Ca2 0.830 0.164 0.660
Ca3 0.170 0.836 0.340
Nd1 0.832 0.662 0.663
Nd2 0.168 0.338 0.337
Sc1 0.500 0.000 0.000
Te1 0.340 0.923 0.680
Te2 0.664 0.589 0.328
Te3 0.660 0.077 0.320
Te4 0.998 0.233 0.997
Te5 0.002 0.767 0.003
Te6 0.336 0.411 0.672
# - Fermi-level density of states: 0.48 states/eV/atom
# - Volume: 31.1 Å³/atom
# - SG: C2/m (12)
# - Uncorrected formation energy: -1.450 eV/atom
# - Size of the total moment: 0.00 μB per atom

[3]
# GGA-PBE CaNdScTl, optimized geometry
data_CaNdScTl
_chemical_formula_sum 'Ca1 Nd1 Sc1 Tl1'
_symmetry_space_group_name_H-M 'P 1'
_symmetry_Int_Tables_number 1
_cell_length_a 5.452
_cell_length_b 5.452
_cell_length_c 5.452
_cell_angle_alpha 60.00
_cell_angle_beta 60.00
_cell_angle_gamma 60.00
loop_
_symmetry_equiv_pos_as_xyz
'x,y,z'
loop_
_atom_site_label
_atom_site_fract_x
_atom_site_fract_y
_atom_site_fract_z
Sc1 0.000 0.000 0.000
Tl1 0.750 0.750 0.750
Nd1 0.500 0.500 0.500
Ca1 0.250 0.250 0.250
# - Fermi-level density of states: 1.01 states/eV/atom
# - Volume: 28.6 Å³/atom
# - SG: F-43m (216)
# - E_form: -0.04 eV/atom
# - Size of the total moment: 0.00 μB per atom

[4]
# GGA-PBE CaNdTmSc, optimized geometry
data_CaNdTmSc
_chemical_formula_sum 'Ca1 Nd1 Tm1 Sc1'
_symmetry_space_group_name_H-M 'P 1'
_symmetry_Int_Tables_number 1
_cell_length_a 5.639
_cell_length_b 5.639
_cell_length_c 5.639
_cell_angle_alpha 60.00
_cell_angle_beta 60.00
_cell_angle_gamma 60.00
loop_
_symmetry_equiv_pos_as_xyz
'x,y,z'
loop_
_atom_site_label
_atom_site_fract_x
_atom_site_fract_y
_atom_site_fract_z
Sc1 0.000 0.000 0.000
Ca1 0.500 0.500 0.500
Tm1 0.250 0.250 0.250
Nd1 0.750 0.750 0.750
# - Fermi-level density of states: 1.56 states/eV/atom
# - Volume: 31.7 Å³/atom
# - SG: F-43m (216)
# - E_form: 0.16 eV/atom
# - Size of the total moment: 0.00 μB per atom

[5]
# GGA-PBE CaNdSe2, optimized geometry
data_CaNdSe2
_chemical_formula_sum 'Ca2 Nd2 Se4'
_symmetry_space_group_name_H-M 'P 1'
_symmetry_Int_Tables_number 1
_cell_length_a 4.145
_cell_length_b 4.145
_cell_length_c 14.403
_cell_angle_alpha 90.00
_cell_angle_beta 90.00
_cell_angle_gamma 120.00
loop_
_symmetry_equiv_pos_as_xyz
'x,y,z'
loop_
_atom_site_label
_atom_site_fract_x
_atom_site_fract_y
_atom_site_fract_z
Ca1 0.667 0.333 0.250
Ca2 0.333 0.667 0.750
Nd1 0.000 0.000 0.500
Nd2 0.000 0.000 0.000
Se1 0.333 0.667 0.375
Se2 0.667 0.333 0.875
Se3 0.667 0.333 0.625
Se4 0.333 0.667 0.125
# - Fermi-level density of states: 0.31 states/eV/atom
# - Volume: 26.8 Å³/atom
# - SG: P6_3/mmc (194)
# - Uncorrected formation energy: -1.853 eV/atom
# - Size of the total moment: 0.00 μB per atom

[6]
# GGA-PBE CaNd2Se, optimized geometry
data_CaNd2Se
_chemical_formula_sum 'Ca1 Nd2 Se1'
_symmetry_space_group_name_H-M 'P 1'
_symmetry_Int_Tables_number 1
_cell_length_a 3.950
_cell_length_b 3.950
_cell_length_c 10.943
_cell_angle_alpha 79.60
_cell_angle_beta 79.60
_cell_angle_gamma 60.00
loop_
_symmetry_equiv_pos_as_xyz
'x,y,z'
loop_
_atom_site_label
_atom_site_fract_x
_atom_site_fract_y
_atom_site_fract_z
Ca1 0.000 0.000 0.000
Nd1 0.111 0.111 0.668
Nd2 0.889 0.889 0.332
Se1 0.500 0.500 0.500
# - Fermi-level density of states: 1.22 states/eV/atom
# - Volume: 36.1 Å³/atom
# - SG: R-3m (166)
# - Uncorrected formation energy: -0.662 eV/atom
# - Size of the total moment: 0.00 μB per atom

[7]
# GGA-PBE CaNd6Se8, optimized geometry
data_CaNd6Se8
_chemical_formula_sum 'Ca1 Nd6 Se8'
_symmetry_space_group_name_H-M 'P 1'
_symmetry_Int_Tables_number 1
_cell_length_a 8.437
_cell_length_b 8.437
_cell_length_c 8.437
_cell_angle_alpha 60.00
_cell_angle_beta 60.00
_cell_angle_gamma 60.00
loop_
_symmetry_equiv_pos_as_xyz
'x,y,z'
loop_
_atom_site_label
_atom_site_fract_x
_atom_site_fract_y
_atom_site_fract_z
Ca1 0.000 0.000 0.000
Nd1 0.000 0.500 0.500
Nd2 0.500 0.000 0.000
Nd3 0.500 0.500 0.000
Nd4 0.000 0.000 0.500
Nd5 0.000 0.500 0.000
Nd6 0.500 0.000 0.500
Se1 0.750 0.750 0.750
Se2 0.250 0.250 0.250
Se3 0.751 0.249 0.249
Se4 0.249 0.751 0.751
Se5 0.249 0.249 0.751
Se6 0.751 0.751 0.249
Se7 0.751 0.249 0.751
Se8 0.249 0.751 0.249
# - Fermi-level density of states: 0.27 states/eV/atom
# - Volume: 28.3 Å³/atom
# - SG: Fm-3m (225)
# - Uncorrected formation energy: -1.898 eV/atom
# - Size of the total moment: 0.00 μB per atom

[8]
# GGA-PBE Ca2NdSe3, optimized geometry
data_Ca2NdSe3
_chemical_formula_sum 'Ca2 Nd1 Se3'
_symmetry_space_group_name_H-M 'P 1'
_symmetry_Int_Tables_number 1
_cell_length_a 4.193
_cell_length_b 5.971
_cell_length_c 7.318
_cell_angle_alpha 114.08
_cell_angle_beta 106.65
_cell_angle_gamma 90.00
loop_
_symmetry_equiv_pos_as_xyz
'x,y,z'
loop_
_atom_site_label
_atom_site_fract_x
_atom_site_fract_y
_atom_site_fract_z
Ca1 0.833 0.833 0.166
Ca2 0.167 0.167 0.834
Nd1 0.500 0.500 0.500
Se1 0.831 0.331 0.161
Se2 0.169 0.669 0.839
Se3 0.500 0.000 0.500
# - Fermi-level density of states: 0.32 states/eV/atom
# - Volume: 26.5 Å³/atom
# - SG: Immm (71)
# - Uncorrected formation energy: -1.934 eV/atom
# - Size of the total moment: 0.00 μB per atom

- Which value of volume does entry 1 give?
  30.5 Å³/atom

- Which value of size of the total moment does entry 4 give?
  0.00 μB per atom